P.
An optimized crystal structure of TiTe3Au. Source: Alexandria via LeMat-Bulk, functional GGA-PBEsol.

Its total moment is 1.6 μB/f.u.

It has space group Pm-3m (No. 221), with a = 5.3084 Å, b = 5.3084 Å, c = 5.3084 Å, α = 90.00°, β = 90.00° and γ = 90.00°. The inequivalent atoms are Ti at (0.0000, 0.0000, 0.0000), Te at (0.0000, 0.5000, 0.5000) and Au at (0.5000, 0.5000, 0.5000).

=====

Q.
An optimized crystal structure of TiTe3Au. Source: Alexandria via LeMat-Bulk, functional GGA-PBEsol.

Its total moment is 0.0 μB/f.u.

It has space group Pm-3m (No. 221), with a = 5.1858 Å, b = 5.1858 Å, c = 5.1858 Å, α = 90.00°, β = 90.00° and γ = 90.00°. The inequivalent atoms are Ti at (0.0000, 0.0000, 0.0000), Te at (0.0000, 0.0000, 0.5000) and Au at (0.5000, 0.5000, 0.5000).

=====

Bottom line: Q, by a margin of 404 meV per atom.

=====

P.
An optimized crystal structure of TeWAu. Source: Alexandria via LeMat-Bulk, functional GGA-PBEsol.

Its total moment is 2.6 μB/f.u.

It has space group F-43m (No. 216), with a = 6.4779 Å, b = 6.4779 Å, c = 6.4779 Å, α = 90.00°, β = 90.00° and γ = 90.00°. The inequivalent atoms are Te at (0.0000, 0.0000, 0.0000), W at (0.0000, 0.0000, 0.5000) and Au at (0.2500, 0.2500, 0.7500).

=====

Q.
An optimized crystal structure of TeWAu. Source: Alexandria via LeMat-Bulk, functional GGA-PBEsol.

Its total moment is 0.0 μB/f.u.

It has space group I4mm (No. 107), with a = 3.1208 Å, b = 3.1208 Å, c = 12.4453 Å, α = 90.00°, β = 90.00° and γ = 90.00°. The inequivalent atoms are Te at (0.0000, 0.0000, 0.0000), W at (0.0000, 0.0000, 0.6351) and Au at (0.0000, 0.0000, 0.2747).

=====

R.
An optimized crystal structure of TeWAu. Source: Alexandria via LeMat-Bulk, functional GGA-PBEsol.

Its total moment is 0.1 μB/f.u.

It has space group F-43m (No. 216), with a = 6.3252 Å, b = 6.3252 Å, c = 6.3252 Å, α = 90.00°, β = 90.00° and γ = 90.00°. The inequivalent atoms are Te at (0.0000, 0.0000, 0.0000), W at (0.2500, 0.2500, 0.7500) and Au at (0.0000, 0.0000, 0.5000).

=====

Bottom line: Q, by a margin of 132 meV per atom.

=====

P.
An optimized crystal structure of Te2WAu. Source: Alexandria via LeMat-Bulk, functional GGA-PBEsol.

Its total moment is 0.0 μB/f.u.

It has space group P4mm (No. 99), with a = 3.4602 Å, b = 3.4602 Å, c = 7.4807 Å, α = 90.00°, β = 90.00° and γ = 90.00°. The inequivalent atoms are Te at (0.0000, 0.0000, 0.0000), Te at (0.5000, 0.5000, 0.4163), W at (0.0000, 0.0000, 0.6226) and Au at (0.5000, 0.5000, 0.8233).

=====

Q.
An optimized crystal structure of Te2WAu. Source: Alexandria via LeMat-Bulk, functional GGA-PBEsol.

Its total moment is 0.0 μB/f.u.

It has space group P-4m2 (No. 115), with a = 3.9914 Å, b = 3.9914 Å, c = 6.0665 Å, α = 90.00°, β = 90.00° and γ = 90.00°. The inequivalent atoms are Te at (0.0000, 0.5000, 0.1887), W at (0.5000, 0.5000, 0.5000) and Au at (0.0000, 0.0000, 0.5000).

=====

Bottom line: Q, by a margin of 58 meV per atom.